A plane-wave DFT calculation with PBE was carried out for a geometry-optimized CoC structure.

Unit cell a=2.487 b=2.487 c=2.487 alpha=90.00 beta=90.00 gamma=90.00
Space group Pm-3m (No. 221)
Unique sites:
1 Co 0.000 0.000 0.000
2 C 0.500 0.500 0.500

---

A plane-wave DFT calculation with PBE was carried out for a geometry-optimized CoC2 structure.

Unit cell a=4.527 b=4.527 c=2.704 alpha=90.00 beta=90.00 gamma=90.00
Space group P4_2/mnm (No. 136)
Unique sites:
1 Co 0.000 0.000 0.000
2 C 0.207 0.207 0.500

offset from the most stable computed form	0	meV/atom

---

A plane-wave DFT calculation with PBE was carried out for a geometry-optimized Co3C structure.

Unit cell a=4.934 b=6.682 c=4.427 alpha=90.00 beta=90.00 gamma=90.00
Space group Pnma (No. 62)
Unique sites:
1 Co 0.038 0.250 0.156
2 Co 0.180 0.070 0.671
3 C 0.119 0.750 0.446

---

A plane-wave DFT calculation with PBE was carried out for a geometry-optimized CoC structure.

Unit cell a=4.262 b=4.262 c=4.262 alpha=90.00 beta=90.00 gamma=90.00
Space group F-43m (No. 216)
Unique sites:
1 Co 0.000 0.000 0.000
2 C 0.250 0.250 0.250

---

A plane-wave DFT calculation with PBE was carried out for a geometry-optimized Co2C structure.

Unit cell a=8.132 b=8.132 c=8.132 alpha=90.00 beta=90.00 gamma=90.00
Space group Fd-3m (No. 227, origin choice 2)
Unique sites:
1 Co 0.000 0.000 0.000
2 C 0.125 0.125 0.125

offset from the most stable computed form	1431	meV/atom

---

A plane-wave DFT calculation with PBE was carried out for a geometry-optimized CoC structure.

Unit cell a=3.617 b=2.495 c=3.424 alpha=90.00 beta=90.00 gamma=90.00
Space group Pmma (No. 51)
Unique sites:
1 Co 0.250 0.000 0.243
2 C 0.250 0.500 0.774

---

A plane-wave DFT calculation with PBE was carried out for a geometry-optimized CoC2 structure.

Unit cell a=5.717 b=5.717 c=5.717 alpha=90.00 beta=90.00 gamma=90.00
Space group Fd-3m (No. 227, origin choice 2)
Unique sites:
1 Co 0.125 0.125 0.125
2 C 0.000 0.000 0.500

offset from the most stable computed form	1041	meV/atom

---

A plane-wave DFT calculation with PBE was carried out for a geometry-optimized CoC8 structure.

Unit cell a=4.981 b=8.645 c=13.826 alpha=90.00 beta=90.00 gamma=90.00
Space group Fddd (No. 70, origin choice 2)
Unique sites:
1 Co 0.125 0.125 0.125
2 C 0.124 0.292 0.000
3 C 0.125 0.292 0.498

offset from the most stable computed form	0	meV/atom

---

Number 1: DFT total energy -6.95 eV/atom, M_tot 0.8 μB per cell. Number 2: DFT total energy -6.86 eV/atom, M_tot 0.0 μB per cell. Number 3: DFT total energy -7.50 eV/atom, M_tot 12.2 μB per cell. Number 4: DFT total energy -7.56 eV/atom, M_tot 0.1 μB per cell. Number 5: DFT total energy -6.27 eV/atom, M_tot 15.8 μB per cell. Number 6: DFT total energy -6.95 eV/atom, M_tot 1.5 μB per cell. Number 7: DFT total energy -5.82 eV/atom, M_tot 7.7 μB per cell. Number 8: DFT total energy -8.67 eV/atom, M_tot 1.5 μB per cell.